Record 1
A relaxed structure of Pr2GdTm3OsSe2, computed with PBE.

Summary:
Volume ... 229.0 Å³ per cell
Crystal system ... orthorhombic
Space group ... No. 38
Size of the total moment ... 0.01 μB/atom
E_tot ... -5.940 eV/atom

```
Pr2GdTm3OsSe2
1.0
4.018 0.000 0.000
0.000 7.070 4.031
0.000 -7.070 4.031
Tm Se Os Pr Gd
3 2 1 2 1
direct
0.500 0.991 0.238
0.500 0.238 0.991
0.500 0.769 0.769
0.500 0.659 0.335
0.500 0.335 0.659
0.000 0.024 0.024
0.000 0.586 0.000
0.000 0.000 0.586
0.000 0.397 0.397
```



Record 2
A relaxed structure of CuTe2Au3, computed with PBE.

Summary:
Volume ... 344.8 Å³ per cell
Crystal system ... trigonal
Space group ... No. 167
E_tot ... -3.370 eV/atom

```
CuTe2Au3
1.0
4.084 2.358 5.966
-4.084 2.358 5.966
0.000 -4.716 5.966
Au Cu Te
6 2 4
direct
0.746 0.249 0.753
0.246 0.253 0.749
0.753 0.746 0.249
0.749 0.246 0.253
0.253 0.749 0.246
0.249 0.753 0.746
0.499 0.499 0.499
0.999 0.999 0.999
0.148 0.148 0.148
0.850 0.850 0.850
0.648 0.648 0.648
0.350 0.350 0.350
```